A geometry-optimized UPa2Pt9 structure, computed with PBE.

Cell lengths 4.184, 4.184, 12.516 Å; angles 90.00, 90.00, 90.00 degrees
Sites, in units of the cell vectors:
Pa1 0.000 0.000 0.333
Pa2 0.000 0.000 0.667
Pt1 0.500 0.000 0.169
Pt2 0.000 0.500 0.500
Pt3 0.500 0.500 0.666
Pt4 0.000 0.500 0.831
Pt5 0.500 0.000 0.831
Pt6 0.000 0.500 0.169
Pt7 0.500 0.500 0.334
Pt8 0.500 0.500 0.000
Pt9 0.500 0.000 0.500
U1 0.000 0.000 0.000

Values from the calculation:
symmetry = P4/mmm (123)
uncorrected energy = -7.896 eV/atom

---

A geometry-optimized Er3TeS6 structure, computed with PBE.

Cell lengths 6.681, 8.476, 8.476 Å; angles 103.63, 90.00, 90.00 degrees
Sites, in units of the cell vectors:
S1 0.746 0.989 0.011
S2 0.709 0.894 0.434
S3 0.185 0.698 0.631
S4 0.209 0.106 0.566
S5 0.209 0.434 0.894
S6 0.685 0.631 0.698
S7 0.685 0.302 0.369
S8 0.618 0.231 0.769
S9 0.709 0.566 0.106
S10 0.246 0.011 0.989
S11 0.185 0.369 0.302
S12 0.118 0.769 0.231
Te1 0.968 0.166 0.834
Te2 0.468 0.834 0.166
Er1 0.885 0.591 0.409
Er2 0.991 0.708 0.912
Er3 0.385 0.409 0.591
Er4 0.991 0.088 0.292
Er5 0.491 0.912 0.708
Er6 0.491 0.292 0.088

Values from the calculation:
symmetry = Cmc2_1 (36)
raw formation energy = -1.432 eV/atom

---

A geometry-optimized NaSc2SiI structure, computed with PBE.

Cell lengths 5.129, 5.660, 5.129 Å; angles 90.00, 90.00, 90.00 degrees
Sites, in units of the cell vectors:
I1 0.500 0.500 0.500
Sc1 0.500 0.000 0.000
Sc2 0.000 0.000 0.500
Na1 0.000 0.500 0.000
Si1 0.000 0.000 0.000

Values from the calculation:
symmetry = P4/mmm (123)
raw formation energy = -0.121 eV/atom

---

A geometry-optimized Mg2CoNi structure, computed with PBE.

Cell lengths 4.284, 4.283, 3.041 Å; angles 90.00, 90.00, 90.00 degrees
Sites, in units of the cell vectors:
Mg1 0.000 0.000 0.000
Mg2 0.500 0.500 0.000
Co1 0.000 0.500 0.500
Ni1 0.500 0.000 0.500

Values from the calculation:
relative energy among the computed polymorphs = 1.08 kJ per mole of atoms
symmetry = P4/mmm (123)

---

A geometry-optimized ZnMoRh2 structure, computed with PBE.

Cell lengths 4.020, 4.018, 3.610 Å; angles 90.00, 90.00, 90.00 degrees
Sites, in units of the cell vectors:
Mo1 0.000 0.500 0.500
Rh1 0.000 0.000 0.000
Rh2 0.500 0.500 0.000
Zn1 0.500 0.000 0.500

Values from the calculation:
symmetry = P4/mmm (123)
uncorrected energy = -6.739 eV/atom

---

Number 1: calculated volume 18.257 Å³/atom, DOS at the Fermi energy 14.9 states/eV/f.u.. Number 2: calculated volume 23.324 Å³/atom, DOS at the Fermi energy 3.2 states/eV/f.u.. Number 3: calculated volume 29.783 Å³/atom, DOS at the Fermi energy 6.5 states/eV/f.u.. Number 4: calculated volume 13.951 Å³/atom, DOS at the Fermi energy 3.8 states/eV/f.u.. Number 5: calculated volume 14.577 Å³/atom, DOS at the Fermi energy 5.7 states/eV/f.u..